# Sm2AuI (PBE, relaxed)
data_Sm2AuI
_space_group_name_H-M_alt 'R 3 m'
_space_group_IT_number 160
_space_group_name_Hall 'R 3 -2"'
_cell_length_a 4.1870
_cell_length_b 4.1870
_cell_length_c 24.6307
_cell_angle_alpha 90.00
_cell_angle_beta 90.00
_cell_angle_gamma 120.00
loop_
_atom_site_label
_atom_site_type_symbol
_atom_site_fract_x
_atom_site_fract_y
_atom_site_fract_z
Sm1 Sm 0.0000 0.0000 0.0000
Sm2 Sm 0.0000 0.0000 0.1969
Au1 Au 0.0000 0.0000 0.5994
I1 I 0.0000 0.0000 0.4311
# DOS(E_F) ... 0.46 states/eV per atom
# Formation energy (no corrections) ... -0.820 eV/atom

---

# V2Ir2Pt (PBE, relaxed)
data_V2Ir2Pt
_space_group_name_H-M_alt 'I 4/m m m'
_space_group_IT_number 139
_space_group_name_Hall '-I 4 2'
_cell_length_a 3.7469
_cell_length_b 3.7469
_cell_length_c 11.3615
_cell_angle_alpha 90.00
_cell_angle_beta 90.00
_cell_angle_gamma 90.00
loop_
_atom_site_label
_atom_site_type_symbol
_atom_site_fract_x
_atom_site_fract_y
_atom_site_fract_z
V1 V 0.0000 0.0000 0.1054
Ir1 Ir 0.0000 0.5000 0.2500
Pt1 Pt 0.0000 0.0000 0.5000
# Formation enthalpy at 0 K ... 0.026 eV/atom
# DOS(E_F) ... 0.66 states/eV per atom

---

# Cd3Sn2Hg6 (PBE, relaxed)
data_Cd3Sn2Hg6
_space_group_name_H-M_alt 'P 1 21/c 1'
_space_group_IT_number 14
_cell_length_a 7.5591
_cell_length_b 5.8952
_cell_length_c 13.5413
_cell_angle_alpha 90.00
_cell_angle_beta 94.28
_cell_angle_gamma 90.00
loop_
_space_group_symop_operation_xyz
'x,y,z'
'-x,-y,-z'
'-x,y+1/2,-z+1/2'
'x,-y+1/2,z+1/2'
loop_
_atom_site_label
_atom_site_type_symbol
_atom_site_fract_x
_atom_site_fract_y
_atom_site_fract_z
Cd1 Cd 0.0000 0.0000 0.0000
Cd2 Cd 0.2797 0.1170 0.8380
Sn1 Sn 0.3739 0.1241 0.0708
Hg1 Hg 0.0548 0.6143 0.1843
Hg2 Hg 0.2527 0.5902 0.9934
Hg3 Hg 0.3797 0.5907 0.7801
# Formation enthalpy at 0 K ... 0.057 eV/atom
# DOS(E_F) ... 0.30 states/eV per atom

---

# LaSb2TeOs (PBE, relaxed)
data_LaSb2TeOs
_space_group_name_H-M_alt 'P 4/m m m'
_space_group_IT_number 123
_space_group_name_Hall '-P 4 2'
_cell_length_a 5.0511
_cell_length_b 5.0511
_cell_length_c 5.7964
_cell_angle_alpha 90.00
_cell_angle_beta 90.00
_cell_angle_gamma 90.00
loop_
_atom_site_label
_atom_site_type_symbol
_atom_site_fract_x
_atom_site_fract_y
_atom_site_fract_z
La1 La 0.0000 0.0000 0.0000
Sb1 Sb 0.0000 0.5000 0.5000
Te1 Te 0.5000 0.5000 0.0000
Os1 Os 0.5000 0.5000 0.5000
# DOS(E_F) ... 0.79 states/eV per atom
# Formation energy (no corrections) ... 0.005 eV/atom

---

# Ca6HN2 (PBE, relaxed)
data_Ca6HN2
_space_group_name_H-M_alt 'P -3 1 m'
_space_group_IT_number 162
_space_group_name_Hall '-P 3 2'
_cell_length_a 6.2921
_cell_length_b 6.2921
_cell_length_c 6.2210
_cell_angle_alpha 90.00
_cell_angle_beta 90.00
_cell_angle_gamma 120.00
loop_
_atom_site_label
_atom_site_type_symbol
_atom_site_fract_x
_atom_site_fract_y
_atom_site_fract_z
Ca1 Ca 0.0000 0.3558 0.2222
H1 H 0.0000 0.0000 0.0000
N1 N 0.3333 0.6667 0.0000
# Electronic total energy ... -4.1272 eV per atom
# DOS(E_F) ... 0.24 states/eV per atom

---

# Er2Te3 (PBE, relaxed)
data_Er2Te3
_space_group_name_H-M_alt 'P n m a'
_space_group_IT_number 62
_cell_length_a 11.9139
_cell_length_b 4.2526
_cell_length_c 11.8050
_cell_angle_alpha 90.00
_cell_angle_beta 90.00
_cell_angle_gamma 90.00
loop_
_space_group_symop_operation_xyz
'x,y,z'
'-x,-y,-z'
'-x+1/2,-y,z+1/2'
'x+1/2,y,-z+1/2'
'x+1/2,-y+1/2,-z+1/2'
'-x+1/2,y+1/2,z+1/2'
'-x,y+1/2,-z'
'x,-y+1/2,z'
loop_
_atom_site_label
_atom_site_type_symbol
_atom_site_fract_x
_atom_site_fract_y
_atom_site_fract_z
Er1 Er 0.0187 0.2500 0.1889
Er2 Er 0.1960 0.2500 0.4968
Te1 Te 0.0420 0.7500 0.3769
Te2 Te 0.1171 0.2500 0.9440
Te3 Te 0.2221 0.7500 0.6931
# DOS(E_F) ... 0.02 states/eV per atom
# Formation energy (no corrections) ... -1.340 eV/atom

---

# SrMn2Mo (PBE, relaxed)
data_SrMn2Mo
_space_group_name_H-M_alt 'I 41/a m d'
_space_group_IT_number 141
_cell_length_a 4.6939
_cell_length_b 4.6939
_cell_length_c 16.1074
_cell_angle_alpha 90.00
_cell_angle_beta 90.00
_cell_angle_gamma 90.00
loop_
_space_group_symop_operation_xyz
'x,y,z'
'-x,-y,-z'
'-y+1/4,x+3/4,z+1/4'
'y+1/4,-x+3/4,-z+1/4'
'-x+1/2,-y,z+1/2'
'x+1/2,y,-z+1/2'
'y+1/4,-x+1/4,z+3/4'
'-y+1/4,x+1/4,-z+3/4'
'x,-y,-z'
'-x,y,z'
'-y+1/4,-x+1/4,-z+3/4'
'y+1/4,x+1/4,z+3/4'
'-x+1/2,y,-z+1/2'
'x+1/2,-y,z+1/2'
'y+1/4,x+3/4,-z+1/4'
'-y+1/4,-x+3/4,z+1/4'
'x+1/2,y+1/2,z+1/2'
'-x+1/2,-y+1/2,-z+1/2'
'-y+3/4,x+1/4,z+3/4'
'y+3/4,-x+1/4,-z+3/4'
'-x,-y+1/2,z'
'x,y+1/2,-z'
'y+3/4,-x+3/4,z+1/4'
'-y+3/4,x+3/4,-z+1/4'
'x+1/2,-y+1/2,-z+1/2'
'-x+1/2,y+1/2,z+1/2'
'-y+3/4,-x+3/4,-z+1/4'
'y+3/4,x+3/4,z+1/4'
'-x,y+1/2,-z'
'x,-y+1/2,z'
'y+3/4,x+1/4,-z+3/4'
'-y+3/4,-x+1/4,z+3/4'
loop_
_atom_site_label
_atom_site_type_symbol
_atom_site_fract_x
_atom_site_fract_y
_atom_site_fract_z
Sr1 Sr 0.0000 0.2500 0.3750
Mn1 Mn 0.0000 0.0000 0.0000
Mo1 Mo 0.0000 0.2500 0.8750
# Formation enthalpy at 0 K ... 1.101 eV/atom
# DOS(E_F) ... 1.38 states/eV per atom

---

# BaGaN (PBE, relaxed)
data_BaGaN
_space_group_name_H-M_alt 'P m m a'
_space_group_IT_number 51
_cell_length_a 6.0834
_cell_length_b 3.8561
_cell_length_c 6.0996
_cell_angle_alpha 90.00
_cell_angle_beta 90.00
_cell_angle_gamma 90.00
loop_
_space_group_symop_operation_xyz
'x,y,z'
'-x,-y,-z'
'-x+1/2,-y,z'
'x+1/2,y,-z'
'x+1/2,-y,-z'
'-x+1/2,y,z'
'-x,y,-z'
'x,-y,z'
loop_
_atom_site_label
_atom_site_type_symbol
_atom_site_fract_x
_atom_site_fract_y
_atom_site_fract_z
Ba1 Ba 0.2500 0.0000 0.2449
Ga1 Ga 0.2500 0.5000 0.8021
N1 N 0.0000 0.5000 0.0000
# DOS(E_F) ... 0.36 states/eV per atom
# Formation energy (no corrections) ... -0.484 eV/atom

---

# Zr2W (PBE, relaxed)
data_Zr2W
_space_group_name_H-M_alt 'C m c m'
_space_group_IT_number 63
_space_group_name_Hall '-C 2c 2'
_cell_length_a 2.8589
_cell_length_b 16.6179
_cell_length_c 5.0951
_cell_angle_alpha 90.00
_cell_angle_beta 90.00
_cell_angle_gamma 90.00
loop_
_atom_site_label
_atom_site_type_symbol
_atom_site_fract_x
_atom_site_fract_y
_atom_site_fract_z
Zr1 Zr 0.0000 0.0447 0.2500
Zr2 Zr 0.0000 0.2889 0.7500
W1 W 0.0000 0.3752 0.2500
# Formation enthalpy at 0 K ... 0.301 eV/atom
# DOS(E_F) ... 1.21 states/eV per atom

---

# Tb2FeRu (PBE, relaxed)
data_Tb2FeRu
_space_group_name_H-M_alt 'P 4/m m m'
_space_group_IT_number 123
_space_group_name_Hall '-P 4 2'
_cell_length_a 3.4048
_cell_length_b 3.4048
_cell_length_c 7.0148
_cell_angle_alpha 90.00
_cell_angle_beta 90.00
_cell_angle_gamma 90.00
loop_
_atom_site_label
_atom_site_type_symbol
_atom_site_fract_x
_atom_site_fract_y
_atom_site_fract_z
Tb1 Tb 0.0000 0.0000 0.2421
Fe1 Fe 0.5000 0.5000 0.5000
Ru1 Ru 0.5000 0.5000 0.0000
# Formation enthalpy at 0 K ... -0.063 eV/atom
# DOS(E_F) ... 1.38 states/eV per atom

---

# Tl3ZnIr (PBE, relaxed)
data_Tl3ZnIr
_space_group_name_H-M_alt 'P m -3 m'
_space_group_IT_number 221
_space_group_name_Hall '-P 4 2 3'
_cell_length_a 5.3221
_cell_length_b 5.3221
_cell_length_c 5.3221
_cell_angle_alpha 90.00
_cell_angle_beta 90.00
_cell_angle_gamma 90.00
loop_
_atom_site_label
_atom_site_type_symbol
_atom_site_fract_x
_atom_site_fract_y
_atom_site_fract_z
Tl1 Tl 0.0000 0.0000 0.5000
Zn1 Zn 0.5000 0.5000 0.5000
Ir1 Ir 0.0000 0.0000 0.0000
# Formation enthalpy at 0 K ... 0.223 eV/atom
# DOS(E_F) ... 0.42 states/eV per atom

---

# BePtCl2 (PBE, relaxed)
data_BePtCl2
_space_group_name_H-M_alt 'P 4 m m'
_space_group_IT_number 99
_cell_length_a 3.3504
_cell_length_b 3.3504
_cell_length_c 7.3373
_cell_angle_alpha 90.00
_cell_angle_beta 90.00
_cell_angle_gamma 90.00
loop_
_space_group_symop_operation_xyz
'x,y,z'
'-y,x,z'
'-x,-y,z'
'y,-x,z'
'-x,y,z'
'y,x,z'
'x,-y,z'
'-y,-x,z'
loop_
_atom_site_label
_atom_site_type_symbol
_atom_site_fract_x
_atom_site_fract_y
_atom_site_fract_z
Be1 Be 0.0000 0.0000 0.0000
Pt1 Pt 0.5000 0.5000 0.9481
Cl1 Cl 0.0000 0.0000 0.7177
Cl2 Cl 0.5000 0.5000 0.2597
# Formation energy (no corrections) ... -0.227 eV/atom

---

# BaTc2Te (PBE, relaxed)
data_BaTc2Te
_space_group_name_H-M_alt 'I -4 2 d'
_space_group_IT_number 122
_space_group_name_Hall 'I -4 2bw'
_cell_length_a 4.8600
_cell_length_b 4.8600
_cell_length_c 19.1027
_cell_angle_alpha 90.00
_cell_angle_beta 90.00
_cell_angle_gamma 90.00
loop_
_atom_site_label
_atom_site_type_symbol
_atom_site_fract_x
_atom_site_fract_y
_atom_site_fract_z
Ba1 Ba 0.0000 0.0000 0.0000
Tc1 Tc 0.0479 0.2500 0.6250
Te1 Te 0.0000 0.0000 0.5000
# DOS(E_F) ... 0.62 states/eV per atom
# Formation energy (no corrections) ... 0.408 eV/atom

---

What are the spin magnetization values for these records? In order: 0.00, 1.31, 0.00, 0.00, 0.00, 0.00, 0.00, 0.00, 0.00, 2.12, 0.00, 0.00, 0.00 μB per formula unit.
What are the calculated density values for these records? In order: 8.32, 14.19, 9.81, 7.86, 2.10, 7.97, 5.49, 5.13, 10.05, 9.69, 9.59, 5.54, 6.79 g/cm3.